No. 1
The following is a DFT calculation (PBE-GGA) of Sr2CaTa after structural relaxation.

Results
**Offset from the most stable computed form**: 148 meV per atom
**Uncorrected energy**: -3.45 eV per atom
**Density of states at the Fermi level**: 3.381 states/eV per cell
**E_form**: 329 kJ/mol of formula units

Structure (POSCAR):
```
Sr2CaTa
1.0
6.376 -0.012 0.000
2.019 6.047 0.000
-4.197 -3.018 3.731
Sr Ca Ta
2 1 1
Cartesian
0.000 0.000 0.000
1.009 3.024 1.866
3.188 -0.006 1.866
4.197 3.018 0.000
```



No. 2
The following is a DFT calculation (PBE-GGA) of SrCa2Ta2 after structural relaxation.

Results
**Offset from the most stable computed form**: 287 meV per atom
**Uncorrected energy**: -4.85 eV per atom
**Density of states at the Fermi level**: 8.013 states/eV per cell
**E_form**: 496 kJ/mol of formula units

Structure (POSCAR):
```
SrCa2Ta2
1.0
4.893 0.000 0.000
0.000 4.893 0.000
2.447 2.447 6.952
Sr Ca Ta
1 2 2
Cartesian
0.000 0.000 0.000
4.893 2.447 3.476
2.447 4.893 3.476
2.447 2.447 1.147
4.893 4.893 5.805
```